The following is a DFT calculation (PBE) of an optimized crystal structure of TbPr7Y2.

Unit cell a=12.2400 b=17.1328 c=3.5391 alpha=90.00 beta=90.00 gamma=90.00
Space group Cmmm (No. 65)
One atom of each set of equivalent atoms:
Tb1 0.0000 0.0000 0.0000 (multiplicity 2)
Pr1 0.0000 0.3228 0.0000 (multiplicity 4)
Pr2 0.0000 0.5000 0.5000 (multiplicity 2)
Pr3 0.2449 0.3708 0.5000 (multiplicity 8)
Y1 0.0000 0.1662 0.5000 (multiplicity 4)

Properties
Relative energy among the computed polymorphs: 0 meV/atom
Size of the total moment: 0.00 μB per formula unit
Formation energy: 0.374 eV/atom